# 1
This record from the Alexandria database describes a relaxed structure of NaLa2PbF. The functional is PBE.

```
NaLa2PbF
1.0
5.243 0.000 0.000
0.000 5.243 0.000
0.000 0.000 4.711
La F Na Pb
2 1 1 1
direct
0.500 0.000 0.000
0.000 0.500 0.000
0.000 0.000 0.000
0.000 0.000 0.500
0.500 0.500 0.500
```

Summary:
Uncorrected formation energy ... -1253 meV per atom
Energy ... -4.60 eV per atom
Space-group type ... P4/mmm (123)


# 2
This record from the Alexandria database describes a relaxed structure of Na2LaPdF. The functional is PBE.

```
Na2LaPdF
1.0
-2.071 2.391 -4.473
-0.688 -3.995 -1.817
-5.000 -0.154 2.232
F Na La Pd
1 2 1 1
direct
0.000 0.500 0.000
0.500 0.000 0.000
0.000 0.000 0.500
0.500 0.500 0.500
0.000 0.000 0.000
```

Summary:
Uncorrected formation energy ... -108 meV per atom
Energy ... -3.03 eV per atom
Space-group type ... P4/mmm (123)


# 3
This record from the Alexandria database describes a relaxed structure of Na2LaPtF. The functional is PBE.

```
Na2LaPtF
1.0
-4.798 3.594 1.491
-2.643 -2.532 -2.401
-1.109 -3.531 4.946
Na F La Pt
2 1 1 1
direct
0.000 0.000 0.500
0.500 0.000 0.000
0.000 0.500 0.000
0.000 0.000 0.000
0.500 0.500 0.500
```

Summary:
Uncorrected formation energy ... -132 meV per atom
Energy ... -3.23 eV per atom
Space-group type ... P4/mmm (123)